[1]
# Ba2NaSr4Ca2 | Alexandria via LeMat-Bulk | PBE | relaxed
# total energy = -1.680 eV/atom
# E_form = 8.3 kJ/mol of atoms
# total magnetization = 0.0 Bohr magnetons per cell
data_Ba2NaSr4Ca2
_symmetry_space_group_name_H-M 'P -1'
_symmetry_Int_Tables_number 2
_symmetry_space_group_name_Hall '-P 1'
_cell_length_a 8.119
_cell_length_b 8.124
_cell_length_c 9.439
_cell_angle_alpha 97.76
_cell_angle_beta 108.41
_cell_angle_gamma 118.19
loop_
_atom_site_label
_atom_site_type_symbol
_atom_site_fract_x
_atom_site_fract_y
_atom_site_fract_z
Ba1 Ba 0.080 0.281 0.364
Na1 Na 0.500 0.000 0.500
Sr1 Sr 0.027 0.306 0.849
Sr2 Sr 0.458 0.178 0.151
Ca1 Ca 0.479 0.298 0.775



[2]
# BaNaCa2Tl | Alexandria via LeMat-Bulk | PBE | relaxed
# total energy = -1.940 eV/atom
# E_form = -1.7 kJ/mol of atoms
# total magnetization = 0.0 Bohr magnetons per cell
data_BaNaCa2Tl
_symmetry_space_group_name_H-M 'P 4/m m m'
_symmetry_Int_Tables_number 123
_symmetry_space_group_name_Hall '-P 4 2'
_cell_length_a 6.137
_cell_length_b 6.137
_cell_length_c 6.717
_cell_angle_alpha 90.00
_cell_angle_beta 90.00
_cell_angle_gamma 90.00
loop_
_atom_site_label
_atom_site_type_symbol
_atom_site_fract_x
_atom_site_fract_y
_atom_site_fract_z
Ba1 Ba 0.000 0.000 0.000
Na1 Na 0.500 0.500 0.000
Ca1 Ca 0.000 0.500 0.500
Tl1 Tl 0.000 0.000 0.500



[3]
# BaNaCa2Tl | Alexandria via LeMat-Bulk | PBE | relaxed
# total energy = -1.942 eV/atom
# E_form = -1.9 kJ/mol of atoms
# total magnetization = 0.0 Bohr magnetons per cell
data_BaNaCa2Tl
_symmetry_space_group_name_H-M 'P 4/m m m'
_symmetry_Int_Tables_number 123
_symmetry_space_group_name_Hall '-P 4 2'
_cell_length_a 6.146
_cell_length_b 6.146
_cell_length_c 6.036
_cell_angle_alpha 90.00
_cell_angle_beta 90.00
_cell_angle_gamma 90.00
loop_
_atom_site_label
_atom_site_type_symbol
_atom_site_fract_x
_atom_site_fract_y
_atom_site_fract_z
Ba1 Ba 0.000 0.000 0.000
Na1 Na 0.500 0.500 0.000
Ca1 Ca 0.000 0.500 0.500
Tl1 Tl 0.500 0.500 0.500



[4]
# Ba2NaCaTl | Alexandria via LeMat-Bulk | PBE | relaxed
# total energy = -1.935 eV/atom
# E_form = -2.8 kJ/mol of atoms
# total magnetization = 0.0 Bohr magnetons per cell
data_Ba2NaCaTl
_symmetry_space_group_name_H-M 'P 4/m m m'
_symmetry_Int_Tables_number 123
_symmetry_space_group_name_Hall '-P 4 2'
_cell_length_a 6.794
_cell_length_b 6.794
_cell_length_c 6.138
_cell_angle_alpha 90.00
_cell_angle_beta 90.00
_cell_angle_gamma 90.00
loop_
_atom_site_label
_atom_site_type_symbol
_atom_site_fract_x
_atom_site_fract_y
_atom_site_fract_z
Ba1 Ba 0.000 0.500 0.000
Na1 Na 0.000 0.000 0.500
Ca1 Ca 0.500 0.500 0.500
Tl1 Tl 0.500 0.500 0.000



[5]
# BaNaCaTl | Alexandria via LeMat-Bulk | PBE | relaxed
# total energy = -2.114 eV/atom
# E_form = -20.4 kJ/mol of atoms
# total magnetization = 0.0 Bohr magnetons per cell
data_BaNaCaTl
_symmetry_space_group_name_H-M 'F -4 3 m'
_symmetry_Int_Tables_number 216
_symmetry_space_group_name_Hall 'F -4 2 3'
_cell_length_a 8.374
_cell_length_b 8.374
_cell_length_c 8.374
_cell_angle_alpha 90.00
_cell_angle_beta 90.00
_cell_angle_gamma 90.00
loop_
_atom_site_label
_atom_site_type_symbol
_atom_site_fract_x
_atom_site_fract_y
_atom_site_fract_z
Ba1 Ba 0.000 0.000 0.000
Na1 Na 0.250 0.250 0.750
Ca1 Ca 0.000 0.000 0.500
Tl1 Tl 0.250 0.250 0.250



[6]
# Ba2NaCaZn | Alexandria via LeMat-Bulk | PBE | relaxed
# total energy = -1.681 eV/atom
# E_form = 0.6 kJ/mol of atoms
# total magnetization = 0.0 Bohr magnetons per cell
data_Ba2NaCaZn
_symmetry_space_group_name_H-M 'P 4/m m m'
_symmetry_Int_Tables_number 123
_symmetry_space_group_name_Hall '-P 4 2'
_cell_length_a 6.485
_cell_length_b 6.485
_cell_length_c 5.977
_cell_angle_alpha 90.00
_cell_angle_beta 90.00
_cell_angle_gamma 90.00
loop_
_atom_site_label
_atom_site_type_symbol
_atom_site_fract_x
_atom_site_fract_y
_atom_site_fract_z
Ba1 Ba 0.000 0.500 0.000
Na1 Na 0.000 0.000 0.500
Ca1 Ca 0.500 0.500 0.500
Zn1 Zn 0.500 0.500 0.000



[7]
# Ba2NaCaZn | Alexandria via LeMat-Bulk | PBE | relaxed
# total energy = -1.605 eV/atom
# E_form = 8.0 kJ/mol of atoms
# total magnetization = 0.0 Bohr magnetons per cell
data_Ba2NaCaZn
_symmetry_space_group_name_H-M 'P 4/m m m'
_symmetry_Int_Tables_number 123
_symmetry_space_group_name_Hall '-P 4 2'
_cell_length_a 6.560
_cell_length_b 6.560
_cell_length_c 5.656
_cell_angle_alpha 90.00
_cell_angle_beta 90.00
_cell_angle_gamma 90.00
loop_
_atom_site_label
_atom_site_type_symbol
_atom_site_fract_x
_atom_site_fract_y
_atom_site_fract_z
Ba1 Ba 0.000 0.500 0.000
Na1 Na 0.000 0.000 0.500
Ca1 Ca 0.500 0.500 0.500
Zn1 Zn 0.000 0.000 0.000



[8]
# BaCaNb2 | Alexandria via LeMat-Bulk | PBE | relaxed
# total energy = -4.667 eV/atom
# E_form = 130.2 kJ/mol of atoms
# total magnetization = 21.3 Bohr magnetons per cell
data_BaCaNb2
_symmetry_space_group_name_H-M 'F m -3 m'
_symmetry_Int_Tables_number 225
_symmetry_space_group_name_Hall '-F 4 2 3'
_cell_length_a 7.714
_cell_length_b 7.714
_cell_length_c 7.714
_cell_angle_alpha 90.00
_cell_angle_beta 90.00
_cell_angle_gamma 90.00
loop_
_atom_site_label
_atom_site_type_symbol
_atom_site_fract_x
_atom_site_fract_y
_atom_site_fract_z
Ba1 Ba 0.000 0.000 0.000
Ca1 Ca 0.000 0.000 0.500
Nb1 Nb 0.250 0.250 0.250



[9]
# BaCaNb2 | Alexandria via LeMat-Bulk | PBE | relaxed
# total energy = -4.570 eV/atom
# E_form = 139.5 kJ/mol of atoms
# total magnetization = 7.6 Bohr magnetons per cell
data_BaCaNb2
_symmetry_space_group_name_H-M 'I -4 2 d'
_symmetry_Int_Tables_number 122
_symmetry_space_group_name_Hall 'I -4 2bw'
_cell_length_a 8.752
_cell_length_b 8.752
_cell_length_c 5.924
_cell_angle_alpha 90.00
_cell_angle_beta 90.00
_cell_angle_gamma 90.00
loop_
_atom_site_label
_atom_site_type_symbol
_atom_site_fract_x
_atom_site_fract_y
_atom_site_fract_z
Ba1 Ba 0.000 0.000 0.000
Ca1 Ca 0.000 0.000 0.500
Nb1 Nb 0.244 0.250 0.625



[10]
# BaCa2Nb | Alexandria via LeMat-Bulk | PBE | relaxed
# total energy = -3.068 eV/atom
# E_form = 89.8 kJ/mol of atoms
# total magnetization = 13.0 Bohr magnetons per cell
data_BaCa2Nb
_symmetry_space_group_name_H-M 'I -4 2 d'
_symmetry_Int_Tables_number 122
_symmetry_space_group_name_Hall 'I -4 2bw'
_cell_length_a 4.993
_cell_length_b 4.993
_cell_length_c 24.634
_cell_angle_alpha 90.00
_cell_angle_beta 90.00
_cell_angle_gamma 90.00
loop_
_atom_site_label
_atom_site_type_symbol
_atom_site_fract_x
_atom_site_fract_y
_atom_site_fract_z
Ba1 Ba 0.000 0.000 0.000
Ca1 Ca 0.225 0.750 0.625
Nb1 Nb 0.000 0.000 0.500



[11]
# BaCa2Nb | Alexandria via LeMat-Bulk | PBE | relaxed
# total energy = -3.312 eV/atom
# E_form = 66.3 kJ/mol of atoms
# total magnetization = 12.4 Bohr magnetons per cell
data_BaCa2Nb
_symmetry_space_group_name_H-M 'F m -3 m'
_symmetry_Int_Tables_number 225
_symmetry_space_group_name_Hall '-F 4 2 3'
_cell_length_a 8.273
_cell_length_b 8.273
_cell_length_c 8.273
_cell_angle_alpha 90.00
_cell_angle_beta 90.00
_cell_angle_gamma 90.00
loop_
_atom_site_label
_atom_site_type_symbol
_atom_site_fract_x
_atom_site_fract_y
_atom_site_fract_z
Ba1 Ba 0.000 0.000 0.000
Ca1 Ca 0.250 0.250 0.250
Nb1 Nb 0.000 0.000 0.500



[12]
# Ba8Ca3Nb5O24 | Alexandria via LeMat-Bulk | PBE | relaxed
# ΔE_f (raw) = -2822.9 meV per atom
# total energy = -7.591 eV/atom
# total magnetization = 2.1 Bohr magnetons per cell
data_Ba8Ca3Nb5O24
_symmetry_space_group_name_H-M 'I 4/m m m'
_symmetry_Int_Tables_number 139
_symmetry_space_group_name_Hall '-I 4 2'
_cell_length_a 8.488
_cell_length_b 8.488
_cell_length_c 17.262
_cell_angle_alpha 90.00
_cell_angle_beta 90.00
_cell_angle_gamma 90.00
loop_
_atom_site_label
_atom_site_type_symbol
_atom_site_fract_x
_atom_site_fract_y
_atom_site_fract_z
Ba1 Ba 0.246 0.246 0.125
Ca1 Ca 0.000 0.000 0.500
Ca2 Ca 0.000 0.500 0.250
Nb1 Nb 0.000 0.000 0.000
Nb2 Nb 0.000 0.000 0.254
Nb3 Nb 0.000 0.500 0.000
O1 O 0.000 0.000 0.115
O2 O 0.000 0.000 0.365
O3 O 0.000 0.232 0.239
O4 O 0.000 0.245 0.000
O5 O 0.000 0.268 0.500
O6 O 0.000 0.500 0.115



[13]
# Ba3CaNb2O8 | Alexandria via LeMat-Bulk | PBE | relaxed
# ΔE_f (raw) = -2564.7 meV per atom
# total energy = -7.392 eV/atom
# total magnetization = 1.7 Bohr magnetons per cell
data_Ba3CaNb2O8
_symmetry_space_group_name_H-M 'P -3 m 1'
_symmetry_Int_Tables_number 164
_symmetry_space_group_name_Hall '-P 3 2"'
_cell_length_a 6.1153
_cell_length_b 6.1153
_cell_length_c 7.8697
_cell_angle_alpha 90.00
_cell_angle_beta 90.00
_cell_angle_gamma 120.00
loop_
_atom_site_label
_atom_site_type_symbol
_atom_site_fract_x
_atom_site_fract_y
_atom_site_fract_z
Ba1 Ba 0.0000 0.0000 0.0000
Ba2 Ba 0.3333 0.6667 0.6414
Ca1 Ca 0.0000 0.0000 0.5000
Nb1 Nb 0.3333 0.6667 0.1955
O1 O 0.1714 0.3428 0.3130
O2 O 0.3333 0.6667 0.9561



[14]
# Ba5Ca2Nb3O15 | Alexandria via LeMat-Bulk | PBE | relaxed
# ΔE_f (raw) = -2798.9 meV per atom
# total energy = -7.527 eV/atom
# total magnetization = 4.1 Bohr magnetons per cell
data_Ba5Ca2Nb3O15
_symmetry_space_group_name_H-M 'I 4/m'
_symmetry_Int_Tables_number 87
_symmetry_space_group_name_Hall '-I 4'
_cell_length_a 13.582
_cell_length_b 13.582
_cell_length_c 8.499
_cell_angle_alpha 90.00
_cell_angle_beta 90.00
_cell_angle_gamma 90.00
loop_
_atom_site_label
_atom_site_type_symbol
_atom_site_fract_x
_atom_site_fract_y
_atom_site_fract_z
Ba1 Ba 0.000 0.500 0.250
Ba2 Ba 0.099 0.197 0.243
Ca1 Ca 0.102 0.702 0.500
Nb1 Nb 0.000 0.000 0.000
Nb2 Nb 0.000 0.000 0.500
Nb3 Nb 0.100 0.694 0.000
O1 O 0.000 0.000 0.247
O2 O 0.044 0.339 0.000
O3 O 0.047 0.860 0.000
O4 O 0.052 0.864 0.500
O5 O 0.059 0.359 0.500
O6 O 0.093 0.710 0.232
O7 O 0.235 0.752 0.000



[15]
# BaCaSmNbO6 | Alexandria via LeMat-Bulk | PBE | relaxed
# ΔE_f (raw) = -2865.6 meV per atom
# total energy = -7.712 eV/atom
# total magnetization = 0.0 Bohr magnetons per cell
data_BaCaSmNbO6
_symmetry_space_group_name_H-M 'F -4 3 m'
_symmetry_Int_Tables_number 216
_symmetry_space_group_name_Hall 'F -4 2 3'
_cell_length_a 8.578
_cell_length_b 8.578
_cell_length_c 8.578
_cell_angle_alpha 90.00
_cell_angle_beta 90.00
_cell_angle_gamma 90.00
loop_
_atom_site_label
_atom_site_type_symbol
_atom_site_fract_x
_atom_site_fract_y
_atom_site_fract_z
Ba1 Ba 0.000 0.000 0.000
Ca1 Ca 0.000 0.000 0.500
Sm1 Sm 0.250 0.250 0.750
Nb1 Nb 0.250 0.250 0.250
O1 O 0.015 0.250 0.250



[16]
# BaCaSmNbO6 | Alexandria via LeMat-Bulk | PBE | relaxed
# ΔE_f (raw) = -2966.2 meV per atom
# total energy = -7.812 eV/atom
# total magnetization = 0.0 Bohr magnetons per cell
data_BaCaSmNbO6
_symmetry_space_group_name_H-M 'P -1'
_symmetry_Int_Tables_number 2
_symmetry_space_group_name_Hall '-P 1'
_cell_length_a 5.952
_cell_length_b 5.956
_cell_length_c 8.531
_cell_angle_alpha 89.91
_cell_angle_beta 90.00
_cell_angle_gamma 89.82
loop_
_atom_site_label
_atom_site_type_symbol
_atom_site_fract_x
_atom_site_fract_y
_atom_site_fract_z
Ba1 Ba 0.013 0.484 0.250
Ca1 Ca 0.484 0.019 0.749
Sm1 Sm 0.000 0.000 0.500
Sm2 Sm 0.500 0.500 0.000
Nb1 Nb 0.000 0.000 0.000
Nb2 Nb 0.500 0.500 0.500
O1 O 0.083 0.033 0.767
O2 O 0.182 0.717 0.005
O3 O 0.217 0.682 0.501
O4 O 0.284 0.177 0.060
O5 O 0.324 0.215 0.441
O6 O 0.463 0.420 0.733



[17]
# BaCaTbNbO6 | Alexandria via LeMat-Bulk | PBE | relaxed
# ΔE_f (raw) = -2928.9 meV per atom
# total energy = -7.766 eV/atom
# total magnetization = 0.0 Bohr magnetons per cell
data_BaCaTbNbO6
_symmetry_space_group_name_H-M 'F -4 3 m'
_symmetry_Int_Tables_number 216
_symmetry_space_group_name_Hall 'F -4 2 3'
_cell_length_a 8.492
_cell_length_b 8.492
_cell_length_c 8.492
_cell_angle_alpha 90.00
_cell_angle_beta 90.00
_cell_angle_gamma 90.00
loop_
_atom_site_label
_atom_site_type_symbol
_atom_site_fract_x
_atom_site_fract_y
_atom_site_fract_z
Ba1 Ba 0.000 0.000 0.000
Ca1 Ca 0.000 0.000 0.500
Tb1 Tb 0.250 0.250 0.750
Nb1 Nb 0.250 0.250 0.250
O1 O 0.013 0.250 0.250



[18]
# BaCaNb2Rh | Alexandria via LeMat-Bulk | PBE | relaxed
# total energy = -5.504 eV/atom
# E_form = 75.1 kJ/mol of atoms
# total magnetization = 0.0 Bohr magnetons per cell
data_BaCaNb2Rh
_symmetry_space_group_name_H-M 'P 4/m m m'
_symmetry_Int_Tables_number 123
_symmetry_space_group_name_Hall '-P 4 2'
_cell_length_a 4.978
_cell_length_b 4.978
_cell_length_c 5.992
_cell_angle_alpha 90.00
_cell_angle_beta 90.00
_cell_angle_gamma 90.00
loop_
_atom_site_label
_atom_site_type_symbol
_atom_site_fract_x
_atom_site_fract_y
_atom_site_fract_z
Ba1 Ba 0.000 0.000 0.000
Ca1 Ca 0.500 0.500 0.000
Nb1 Nb 0.000 0.500 0.500
Rh1 Rh 0.000 0.000 0.500



[19]
# BaCaNbSn2 | Alexandria via LeMat-Bulk | PBE | relaxed
# total energy = -4.441 eV/atom
# E_form = -3.9 kJ/mol of atoms
# total magnetization = 0.0 Bohr magnetons per cell
data_BaCaNbSn2
_symmetry_space_group_name_H-M 'P 4/m m m'
_symmetry_Int_Tables_number 123
_symmetry_space_group_name_Hall '-P 4 2'
_cell_length_a 5.506
_cell_length_b 5.506
_cell_length_c 5.462
_cell_angle_alpha 90.00
_cell_angle_beta 90.00
_cell_angle_gamma 90.00
loop_
_atom_site_label
_atom_site_type_symbol
_atom_site_fract_x
_atom_site_fract_y
_atom_site_fract_z
Ba1 Ba 0.000 0.000 0.000
Ca1 Ca 0.500 0.500 0.000
Nb1 Nb 0.500 0.500 0.500
Sn1 Sn 0.000 0.500 0.500



[20]
# BaCaTaNb2 | Alexandria via LeMat-Bulk | PBE | relaxed
# total energy = -4.992 eV/atom
# E_form = 211.4 kJ/mol of atoms
# total magnetization = 1.1 Bohr magnetons per cell
data_BaCaTaNb2
_symmetry_space_group_name_H-M 'P 4/m m m'
_symmetry_Int_Tables_number 123
_symmetry_space_group_name_Hall '-P 4 2'
_cell_length_a 5.116
_cell_length_b 5.116
_cell_length_c 5.217
_cell_angle_alpha 90.00
_cell_angle_beta 90.00
_cell_angle_gamma 90.00
loop_
_atom_site_label
_atom_site_type_symbol
_atom_site_fract_x
_atom_site_fract_y
_atom_site_fract_z
Ba1 Ba 0.000 0.000 0.000
Ca1 Ca 0.500 0.500 0.500
Ta1 Ta 0.500 0.500 0.000
Nb1 Nb 0.000 0.500 0.500